Entry from Alexandria via LeMat-Bulk: BiTeF2 after structural relaxation (PBE).

Lattice parameters (Å, degrees): 9.2185 9.2185 9.2185 20.74 20.74 20.74
Fractional coordinates of all 4 atoms:
Bi  0.0000  0.0000  0.0000
Te  0.5000  0.5000  0.5000
F  0.0823  0.0823  0.0823
F  0.9177  0.9177  0.9177

Summary:
The calculation puts the uncorrected formation energy at -1.0320 eV/atom. The calculation puts the energy above the most stable polymorph in this dataset at 461 meV/atom. As for the volume: 86 Å³ per cell. The value obtained for the density of states at the Fermi level is 2.086 states/eV per cell. The space-group type is No. 166. As for the crystal system: trigonal.